1.
Compound: BeNF2
Source: the Alexandria database
Functional: PBE
Structure: optimized geometry

Output
SG ... Fm-3m (225)
V ... 36.7 Å³ per cell
VASP energy ... -3.628 eV per atom

```
data_BeNF2
_chemical_formula_sum 'Be1 N1 F2'
_space_group_name_H-M_alt 'P 1'
_space_group_IT_number 1
_cell_length_a 3.730
_cell_length_b 3.730
_cell_length_c 3.730
_cell_angle_alpha 60.00
_cell_angle_beta 60.00
_cell_angle_gamma 60.00
loop_
_space_group_symop_operation_xyz
'x,y,z'
loop_
_atom_site_label
_atom_site_fract_x
_atom_site_fract_y
_atom_site_fract_z
Be1 0.000 0.000 0.000
N1 0.500 0.500 0.500
F1 0.250 0.250 0.250
F2 0.750 0.750 0.750
```


2.
Compound: Be3NF
Source: the Alexandria database
Functional: PBE
Structure: optimized geometry

Output
SG ... Pm-3m (221)
V ... 42.1 Å³ per cell
VASP energy ... -4.617 eV per atom

```
data_Be3NF
_chemical_formula_sum 'Be3 N1 F1'
_space_group_name_H-M_alt 'P 1'
_space_group_IT_number 1
_cell_length_a 3.479
_cell_length_b 3.479
_cell_length_c 3.479
_cell_angle_alpha 90.00
_cell_angle_beta 90.00
_cell_angle_gamma 90.00
loop_
_space_group_symop_operation_xyz
'x,y,z'
loop_
_atom_site_label
_atom_site_fract_x
_atom_site_fract_y
_atom_site_fract_z
Be1 0.000 0.500 0.000
Be2 0.000 0.000 0.500
Be3 0.500 0.000 0.000
N1 0.000 0.000 0.000
F1 0.500 0.500 0.500
```


Please write out number 2 again, unchanged.
Compound: Be3NF
Source: the Alexandria database
Functional: PBE
Structure: optimized geometry

Output
SG ... Pm-3m (221)
V ... 42.1 Å³ per cell
VASP energy ... -4.617 eV per atom

```
data_Be3NF
_chemical_formula_sum 'Be3 N1 F1'
_space_group_name_H-M_alt 'P 1'
_space_group_IT_number 1
_cell_length_a 3.479
_cell_length_b 3.479
_cell_length_c 3.479
_cell_angle_alpha 90.00
_cell_angle_beta 90.00
_cell_angle_gamma 90.00
loop_
_space_group_symop_operation_xyz
'x,y,z'
loop_
_atom_site_label
_atom_site_fract_x
_atom_site_fract_y
_atom_site_fract_z
Be1 0.000 0.500 0.000
Be2 0.000 0.000 0.500
Be3 0.500 0.000 0.000
N1 0.000 0.000 0.000
F1 0.500 0.500 0.500
```